Ca4Np3OsN8 PBE-GGA optimized geometry; space-group type = No. 166; E_form (uncorrected) = -948.1 meV per atom; calculated volume = 221.7 Å³/cell; VASP energy = -139.83 eV per cell
1.0
6.713 0.000 0.000
0.000 6.877 0.107
-3.356 -3.350 4.751
Ca N Np Os
4 8 3 1
Direct
0.500 0.000 0.500 Ca
0.000 0.000 0.000 Ca
0.500 0.000 0.000 Ca
0.000 0.000 0.500 Ca
0.741 0.722 0.481 N
0.240 0.717 0.480 N
0.259 0.278 0.519 N
0.760 0.283 0.022 N
0.738 0.717 0.978 N
0.262 0.283 0.022 N
0.760 0.283 0.520 N
0.240 0.717 0.978 N
0.500 0.500 0.500 Np
0.500 0.500 0.000 Np
0.000 0.500 0.500 Np
0.000 0.500 0.000 Os